1.
First-principles (PBE) data for crystalline YMg4Zn2 at its relaxed geometry, as listed in Alexandria via LeMat-Bulk.

```
YMg4Zn2
1.0
8.256 0.000 0.000
0.000 8.256 0.000
0.000 0.000 4.442
Y Mg Zn
2 8 4
direct
0.000 0.000 0.000
0.500 0.500 0.500
0.093 0.338 0.500
0.162 0.593 0.000
0.338 0.093 0.500
0.407 0.838 0.000
0.593 0.162 0.000
0.662 0.907 0.500
0.838 0.407 0.000
0.907 0.662 0.500
0.212 0.788 0.500
0.288 0.288 0.000
0.712 0.712 0.000
0.788 0.212 0.500
```

Values from the calculation:
E above lowest polymorph = 26 meV per atom
total moment = 0.000 μB per atom
density = 3.5 Mg/m³
calculated formation energy = -0.13 eV/atom
DOS(E_F) = 8.928 states/eV per cell


2.
First-principles (PBE) data for crystalline YMgZn at its relaxed geometry, as listed in Alexandria via LeMat-Bulk.

```
YMgZn
1.0
0.000 3.482 3.482
3.482 0.000 3.482
3.482 3.482 0.000
Y Mg Zn
1 1 1
direct
0.000 0.000 0.000
0.750 0.750 0.750
0.250 0.250 0.250
```

Values from the calculation:
E above lowest polymorph = 696 meV per atom
total moment = 0.000 μB per atom
density = 3.5 Mg/m³
calculated formation energy = 0.40 eV/atom
DOS(E_F) = 3.386 states/eV per cell


3.
First-principles (PBE) data for crystalline YMg8Zn2 at its relaxed geometry, as listed in Alexandria via LeMat-Bulk.

```
YMg8Zn2
1.0
4.186 -6.231 0.000
4.186 6.231 0.000
-1.445 0.000 4.945
Y Mg Zn
1 8 2
direct
0.000 0.000 0.000
0.076 0.323 0.590
0.258 0.742 0.000
0.323 0.076 0.590
0.395 0.395 0.192
0.605 0.605 0.808
0.677 0.924 0.410
0.742 0.258 0.000
0.924 0.677 0.410
0.312 0.688 0.500
0.688 0.312 0.500
```

Values from the calculation:
total moment = 0.000 μB per atom
density = 2.7 Mg/m³
calculated formation energy = 0.03 eV/atom
DOS(E_F) = 7.149 states/eV per cell


4.
First-principles (PBE) data for crystalline YMg2Zn6 at its relaxed geometry, as listed in Alexandria via LeMat-Bulk.

```
YMg2Zn6
1.0
7.763 0.000 0.000
-3.881 6.723 0.000
0.000 0.000 3.193
Y Mg Zn
1 2 6
direct
0.000 0.000 0.000
0.333 0.667 0.000
0.667 0.333 0.000
0.000 0.338 0.500
0.000 0.662 0.500
0.338 0.000 0.500
0.338 0.338 0.500
0.662 0.000 0.500
0.662 0.662 0.500
```

Values from the calculation:
E above lowest polymorph = 0 meV per atom
total moment = 0.000 μB per atom
density = 5.3 Mg/m³
calculated formation energy = -0.16 eV/atom
DOS(E_F) = 3.038 states/eV per cell